Arrangement A

{
  "formula": "Tm2CuF8",
  "functional": "PBE",
  "state": "optimized geometry",
  "m_tot_mub_per_atom": 0.091,
  "lattice_angstrom": [[7.8193, -1.6736, 0.0000], [7.8193, 1.6736, 0.0000], [-0.2813, 0.0000, 5.7828]],
  "species": ["Tm", "Tm", "Cu", "F", "F", "F", "F", "F", "F", "F", "F"],
  "frac_coords": [[0.1541, 0.1541, 0.3431], [0.8459, 0.8459, 0.6569], [0.5000, 0.5000, 0.0000], [0.0156, 0.0156, 0.2168], [0.2434, 0.2434, 0.6688], [0.3723, 0.3723, 0.9318], [0.3925, 0.3925, 0.4710], [0.6075, 0.6075, 0.5290], [0.6277, 0.6277, 0.0682], [0.7566, 0.7566, 0.3312], [0.9844, 0.9844, 0.7832]]
}

Arrangement B

{
  "formula": "Tm2CuF8",
  "functional": "PBE",
  "state": "optimized geometry",
  "m_tot_mub_per_atom": 0.091,
  "lattice_angstrom": [[4.6129, -3.4716, 0.0000], [4.6129, 3.4716, 0.0000], [-1.3004, 0.0000, 4.5592]],
  "species": ["Tm", "Tm", "Cu", "F", "F", "F", "F", "F", "F", "F", "F"],
  "frac_coords": [[0.1781, 0.1781, 0.4059], [0.8219, 0.8219, 0.5941], [0.5000, 0.5000, 0.0000], [0.0713, 0.0713, 0.7752], [0.1516, 0.5417, 0.7229], [0.3665, 0.3665, 0.2309], [0.4583, 0.8484, 0.2771], [0.5417, 0.1516, 0.7229], [0.6335, 0.6335, 0.7691], [0.8484, 0.4583, 0.2771], [0.9287, 0.9287, 0.2248]]
}

Which of them is the most stable, and which is the least stable? arrangement B and arrangement A, in that order.